Computed, not measured: crystalline InTeMo2 at its relaxed geometry at the PBEsol level of DFT.

The excess energy over the best structure of this formula in the dataset is 10.3 kJ/mol of atoms. The calculation puts the uncorrected formation energy at 400.6 meV/atom. For the electronic total energy, the calculation gives -28.4 eV/f.u.

Cell: 3.262 3.262 6.668 Å, 90.00 90.00 90.00°
Sites, in units of the cell vectors:
Te: 0.500 0.500 0.000
In: 0.500 0.500 0.500
Mo: 0.000 0.000 0.234
Mo: 0.000 0.000 0.766